! Nd4Ho4Er (GGA-PBE, optimized geometry); values from VASP
! Density of states at the Fermi level, states/eV/f.u.: 14.94
! Formation enthalpy at 0 K, eV per atom: 0.11
! Energy relative to the lowest polymorph listed for this composition, eV per formula unit: 0.792
! Total energy, eV per atom: -4.554
&SYSTEM
  ibrav = 0, nat = 9, ntyp = 3
/
ATOMIC_SPECIES
Nd 144.24 Nd.upf
Ho 164.93 Ho.upf
Er 167.26 Er.upf
CELL_PARAMETERS angstrom
8.458 -2.806 0.000
8.458 2.806 0.000
-2.707 0.000 6.276
ATOMIC_POSITIONS crystal
Nd 0.133 0.133 0.458
Nd 0.281 0.281 0.214
Nd 0.719 0.719 0.786
Nd 0.867 0.867 0.542
Ho 0.071 0.071 0.873
Ho 0.378 0.378 0.828
Ho 0.622 0.622 0.172
Ho 0.929 0.929 0.127
Er 0.500 0.500 0.500

=====

! Nb2TcBSb (GGA-PBE, optimized geometry); values from VASP
! Density of states at the Fermi level, states/eV/f.u.: 7.13
! Total energy, eV per atom: -6.163
! ΔE_f (raw), eV/atom: 2.10
&SYSTEM
  ibrav = 0, nat = 5, ntyp = 4
/
ATOMIC_SPECIES
Nb 92.91 Nb.upf
Tc 98.00 Tc.upf
B 10.81 B.upf
Sb 121.76 Sb.upf
CELL_PARAMETERS angstrom
5.166 0.000 0.000
0.000 5.166 0.000
0.000 0.000 4.038
ATOMIC_POSITIONS crystal
Nb 0.000 0.500 0.000
Nb 0.500 0.000 0.000
Tc 0.000 0.000 0.500
B 0.500 0.500 0.500
Sb 0.500 0.500 0.000

=====

! CaZn2Cu (GGA-PBE, optimized geometry); values from VASP
! Density of states at the Fermi level, states/eV/f.u.: 2.32
! Formation enthalpy at 0 K, eV per atom: -0.06
! Total energy, eV per atom: -2.220
&SYSTEM
  ibrav = 0, nat = 4, ntyp = 3
/
ATOMIC_SPECIES
Ca 40.08 Ca.upf
Zn 65.41 Zn.upf
Cu 63.55 Cu.upf
CELL_PARAMETERS angstrom
3.334 0.000 0.000
0.000 3.334 0.000
0.000 0.000 6.714
ATOMIC_POSITIONS crystal
Ca 0.000 0.000 0.000
Zn 0.000 0.000 0.469
Zn 0.500 0.500 0.689
Cu 0.500 0.500 0.300

=====

! PmThCdSn (GGA-PBE, optimized geometry); values from VASP
! Density of states at the Fermi level, states/eV/f.u.: 4.00
! Formation enthalpy at 0 K, eV per atom: -0.36
! Total energy, eV per atom: -4.634
&SYSTEM
  ibrav = 0, nat = 4, ntyp = 4
/
ATOMIC_SPECIES
Pm 145.00 Pm.upf
Th 232.04 Th.upf
Cd 112.41 Cd.upf
Sn 118.71 Sn.upf
CELL_PARAMETERS angstrom
0.000 3.851 3.851
3.851 0.000 3.851
3.851 3.851 0.000
ATOMIC_POSITIONS crystal
Pm 0.000 0.000 0.000
Th 0.500 0.500 0.500
Cd 0.250 0.250 0.250
Sn 0.750 0.750 0.750

=====

! LiTl2AgBr5 (GGA-PBE, optimized geometry); values from VASP
! Density of states at the Fermi level, states/eV/f.u.: 6.26
! Total energy, eV per atom: -2.741
! ΔE_f (raw), eV/atom: -0.76
&SYSTEM
  ibrav = 0, nat = 18, ntyp = 4
/
ATOMIC_SPECIES
Li 6.94 Li.upf
Tl 204.38 Tl.upf
Ag 107.87 Ag.upf
Br 79.90 Br.upf
CELL_PARAMETERS angstrom
2.133 -9.001 0.000
2.133 9.001 0.000
0.000 0.000 14.373
ATOMIC_POSITIONS crystal
Li 0.194 0.806 0.500
Li 0.806 0.194 0.000
Tl 0.103 0.897 0.152
Tl 0.162 0.838 0.778
Tl 0.838 0.162 0.278
Tl 0.897 0.103 0.652
Ag 0.478 0.522 0.912
Ag 0.522 0.478 0.412
Br 0.053 0.947 0.524
Br 0.278 0.722 0.111
Br 0.333 0.667 0.856
Br 0.377 0.623 0.466
Br 0.475 0.525 0.238
Br 0.525 0.475 0.738
Br 0.623 0.377 0.966
Br 0.667 0.333 0.356
Br 0.722 0.278 0.611
Br 0.947 0.053 0.024

=====

! ZnHgTe2 (GGA-PBE, optimized geometry); values from VASP
! Density of states at the Fermi level, states/eV/f.u.: 3.14
! Total energy, eV per atom: -1.791
! ΔE_f (raw), eV/atom: 0.17
&SYSTEM
  ibrav = 0, nat = 4, ntyp = 3
/
ATOMIC_SPECIES
Zn 65.41 Zn.upf
Hg 200.59 Hg.upf
Te 127.60 Te.upf
CELL_PARAMETERS angstrom
3.204 0.000 0.000
0.000 3.204 0.000
0.000 0.000 10.522
ATOMIC_POSITIONS crystal
Zn 0.000 0.000 0.000
Hg 0.500 0.500 0.181
Te 0.000 0.000 0.447
Te 0.500 0.500 0.797

=====

! Pr6Er8Pb (GGA-PBE, optimized geometry); values from VASP
! Density of states at the Fermi level, states/eV/f.u.: 20.32
! Formation enthalpy at 0 K, eV per atom: 0.23
! Total energy, eV per atom: -4.360
&SYSTEM
  ibrav = 0, nat = 15, ntyp = 3
/
ATOMIC_SPECIES
Pr 140.91 Pr.upf
Er 167.26 Er.upf
Pb 207.20 Pb.upf
CELL_PARAMETERS angstrom
10.002 0.000 0.000
-5.001 8.662 0.000
0.000 0.000 5.952
ATOMIC_POSITIONS crystal
Pr 0.146 0.713 0.000
Pr 0.287 0.433 0.000
Pr 0.433 0.146 0.000
Pr 0.567 0.854 0.000
Pr 0.713 0.567 0.000
Pr 0.854 0.287 0.000
Er 0.022 0.340 0.500
Er 0.318 0.978 0.500
Er 0.333 0.667 0.500
Er 0.340 0.318 0.500
Er 0.660 0.682 0.500
Er 0.667 0.333 0.500
Er 0.682 0.022 0.500
Er 0.978 0.660 0.500
Pb 0.000 0.000 0.000

=====

! Er5Pd4Pt (GGA-PBE, optimized geometry); values from VASP
! Density of states at the Fermi level, states/eV/f.u.: 7.79
! Formation enthalpy at 0 K, eV per atom: -0.99
! Total energy, eV per atom: -5.950
&SYSTEM
  ibrav = 0, nat = 10, ntyp = 3
/
ATOMIC_SPECIES
Er 167.26 Er.upf
Pd 106.42 Pd.upf
Pt 195.08 Pt.upf
CELL_PARAMETERS angstrom
3.455 0.000 0.000
0.000 3.455 0.000
0.000 0.000 17.604
ATOMIC_POSITIONS crystal
Er 0.000 0.000 0.000
Er 0.000 0.000 0.201
Er 0.000 0.000 0.402
Er 0.000 0.000 0.598
Er 0.000 0.000 0.799
Pd 0.500 0.500 0.100
Pd 0.500 0.500 0.300
Pd 0.500 0.500 0.700
Pd 0.500 0.500 0.900
Pt 0.500 0.500 0.500

=====

! PrDy5Ho4 (GGA-PBE, optimized geometry); values from VASP
! Density of states at the Fermi level, states/eV/f.u.: 16.10
! Formation enthalpy at 0 K, eV per atom: 0.06
! Energy relative to the lowest polymorph listed for this composition, eV per formula unit: 0.000
! Total energy, eV per atom: -4.546
&SYSTEM
  ibrav = 0, nat = 10, ntyp = 3
/
ATOMIC_SPECIES
Pr 140.91 Pr.upf
Dy 162.50 Dy.upf
Ho 164.93 Ho.upf
CELL_PARAMETERS angstrom
3.557 0.000 0.000
-1.573 6.472 0.000
-0.839 -2.457 13.913
ATOMIC_POSITIONS crystal
Pr 0.000 0.000 0.000
Dy 0.204 0.881 0.584
Dy 0.494 0.427 0.614
Dy 0.500 0.500 0.000
Dy 0.506 0.573 0.386
Dy 0.796 0.119 0.416
Ho 0.113 0.808 0.217
Ho 0.203 0.730 0.803
Ho 0.797 0.270 0.197
Ho 0.887 0.192 0.783

=====

! Ce2Dy2In3 (GGA-PBE, optimized geometry); values from VASP
! Density of states at the Fermi level, states/eV/f.u.: 11.24
! Formation enthalpy at 0 K, eV per atom: -0.34
! Total energy, eV per atom: -4.519
&SYSTEM
  ibrav = 0, nat = 7, ntyp = 3
/
ATOMIC_SPECIES
Ce 140.12 Ce.upf
Dy 162.50 Dy.upf
In 114.82 In.upf
CELL_PARAMETERS angstrom
2.254 -12.035 0.000
2.254 12.035 0.000
0.000 0.000 3.400
ATOMIC_POSITIONS crystal
Ce 0.215 0.785 0.000
Ce 0.785 0.215 0.000
Dy 0.072 0.928 0.000
Dy 0.928 0.072 0.000
In 0.357 0.643 0.500
In 0.500 0.500 0.500
In 0.643 0.357 0.500

=====

! SrSnGeCl6 (GGA-PBE, optimized geometry); values from VASP
! Density of states at the Fermi level, states/eV/f.u.: 0.00
! Total energy, eV per atom: -3.773
! ΔE_f (raw), eV/atom: -1.40
&SYSTEM
  ibrav = 0, nat = 18, ntyp = 4
/
ATOMIC_SPECIES
Sr 87.62 Sr.upf
Sn 118.71 Sn.upf
Ge 72.64 Ge.upf
Cl 35.45 Cl.upf
CELL_PARAMETERS angstrom
6.619 0.000 0.000
0.000 6.619 0.000
0.000 0.000 12.842
ATOMIC_POSITIONS crystal
Sr 0.000 0.000 0.000
Sr 0.500 0.500 0.500
Sn 0.000 0.000 0.668
Sn 0.500 0.500 0.168
Ge 0.000 0.000 0.332
Ge 0.500 0.500 0.832
Cl 0.190 0.190 0.493
Cl 0.193 0.193 0.179
Cl 0.209 0.209 0.830
Cl 0.291 0.709 0.330
Cl 0.307 0.693 0.679
Cl 0.310 0.690 0.993
Cl 0.690 0.310 0.993
Cl 0.693 0.307 0.679
Cl 0.709 0.291 0.330
Cl 0.791 0.791 0.830
Cl 0.807 0.807 0.179
Cl 0.810 0.810 0.493

=====

! Tl2Zn3SbF12 (GGA-PBE, optimized geometry); values from VASP
! Density of states at the Fermi level, states/eV/f.u.: 2.17
! Total energy, eV per atom: -4.125
! ΔE_f (raw), eV/atom: -2.17
&SYSTEM
  ibrav = 0, nat = 18, ntyp = 4
/
ATOMIC_SPECIES
Tl 204.38 Tl.upf
Zn 65.41 Zn.upf
Sb 121.76 Sb.upf
F 19.00 F.upf
CELL_PARAMETERS angstrom
3.707 2.140 6.624
-3.707 2.140 6.624
0.000 -4.281 6.624
ATOMIC_POSITIONS crystal
Tl 0.089 0.089 0.089
Tl 0.911 0.911 0.911
Zn 0.000 0.500 0.500
Zn 0.500 0.000 0.500
Zn 0.500 0.500 0.000
Sb 0.500 0.500 0.500
F 0.177 0.574 0.574
F 0.179 0.179 0.584
F 0.179 0.584 0.179
F 0.416 0.821 0.821
F 0.426 0.426 0.823
F 0.426 0.823 0.426
F 0.574 0.177 0.574
F 0.574 0.574 0.177
F 0.584 0.179 0.179
F 0.821 0.416 0.821
F 0.821 0.821 0.416
F 0.823 0.426 0.426

=====

! LaCu2Ru (GGA-PBE, optimized geometry); values from VASP
! Density of states at the Fermi level, states/eV/f.u.: 2.45
! Formation enthalpy at 0 K, eV per atom: 0.22
! Energy relative to the lowest polymorph listed for this composition, eV per formula unit: 1.122
! Total energy, eV per atom: -5.377
&SYSTEM
  ibrav = 0, nat = 4, ntyp = 3
/
ATOMIC_SPECIES
La 138.91 La.upf
Cu 63.55 Cu.upf
Ru 101.07 Ru.upf
CELL_PARAMETERS angstrom
0.000 3.282 3.282
3.282 0.000 3.282
3.282 3.282 0.000
ATOMIC_POSITIONS crystal
La 0.000 0.000 0.000
Cu 0.500 0.500 0.500
Cu 0.750 0.750 0.750
Ru 0.250 0.250 0.250

=====

! Ac2ZnCu (GGA-PBE, optimized geometry); values from VASP
! Density of states at the Fermi level, states/eV/f.u.: 4.38
! Formation enthalpy at 0 K, eV per atom: -0.18
! Total energy, eV per atom: -3.572
&SYSTEM
  ibrav = 0, nat = 4, ntyp = 3
/
ATOMIC_SPECIES
Ac 227.00 Ac.upf
Zn 65.41 Zn.upf
Cu 63.55 Cu.upf
CELL_PARAMETERS angstrom
4.550 0.000 0.000
0.000 2.381 5.372
0.000 -2.381 5.372
ATOMIC_POSITIONS crystal
Ac 0.000 0.000 0.000
Ac 0.500 0.293 0.293
Zn 0.000 0.701 0.701
Cu 0.500 0.588 0.588

=====

! NbV2Tc (GGA-PBE, optimized geometry); values from VASP
! Density of states at the Fermi level, states/eV/f.u.: 3.29
! Formation enthalpy at 0 K, eV per atom: -0.19
! Energy relative to the lowest polymorph listed for this composition, eV per formula unit: 0.060
! Total energy, eV per atom: -9.855
&SYSTEM
  ibrav = 0, nat = 4, ntyp = 3
/
ATOMIC_SPECIES
Nb 92.91 Nb.upf
V 50.94 V.upf
Tc 98.00 Tc.upf
CELL_PARAMETERS angstrom
0.000 3.091 3.091
3.091 0.000 3.091
3.091 3.091 0.000
ATOMIC_POSITIONS crystal
Nb 0.000 0.000 0.000
V 0.250 0.250 0.250
V 0.750 0.750 0.750
Tc 0.500 0.500 0.500

=====

! La4Er8Th (GGA-PBE, optimized geometry); values from VASP
! Density of states at the Fermi level, states/eV/f.u.: 24.87
! Formation enthalpy at 0 K, eV per atom: 0.53
! Total energy, eV per atom: -4.362
&SYSTEM
  ibrav = 0, nat = 13, ntyp = 3
/
ATOMIC_SPECIES
La 138.91 La.upf
Er 167.26 Er.upf
Th 232.04 Th.upf
CELL_PARAMETERS angstrom
5.520 3.187 4.486
-5.520 3.187 4.486
0.000 -6.373 4.486
ATOMIC_POSITIONS crystal
La 0.000 0.000 0.000
La 0.000 0.500 0.500
La 0.500 0.000 0.500
La 0.500 0.500 0.000
Er 0.241 0.241 0.241
Er 0.241 0.241 0.757
Er 0.241 0.757 0.241
Er 0.243 0.759 0.759
Er 0.757 0.241 0.241
Er 0.759 0.243 0.759
Er 0.759 0.759 0.243
Er 0.759 0.759 0.759
Th 0.500 0.500 0.500